Compound: Li3CoH7
Source: Alexandria
Functional: GGA-PBE
Structure: optimized geometry

abc: 4.298 4.298 4.835
angles: 69.04 69.04 89.57
Sites, in units of the cell vectors:
Li  0.497  0.497  0.990
Li  0.242  0.794  0.481
Li  0.794  0.242  0.481
H  0.648  0.648  0.265
H  0.131  0.131  0.175
H  0.303  0.975  0.794
H  0.099  0.644  0.211
H  0.975  0.303  0.794
H  0.644  0.099  0.211
H  0.844  0.844  0.806
Co  0.947  0.947  0.039

The total moment comes out at 0.0000 μB per atom. The symmetry is Cm. The total energy comes out at -38.2 eV per formula unit.